[1]
Material: Y2SiSe
Method: DFT, PBE-GGA
State: relaxed

Calculated values
E_form (uncorrected) = -30.79 kcal/mol of atoms
crystal system = monoclinic
E above lowest polymorph = 0.04 eV/f.u.

abc: 8.2563 16.4156 7.1201
angles: 90.00 124.87 90.00
Last column: nearest neighbours and their distance in Å.
Space group C2/c (No. 15)
Unique sites:
Y (0.2349, 0.0627, 0.2406)  3 Si 2.87-2.89, 3 Se 2.94-2.98
Y (0.2455, 0.1877, 0.7411)  3 Si 2.87-2.88, 3 Se 2.94-2.97
Si (0.0000, 0.0653, 0.7500)  6 Y 2.87-2.89
Si (0.0000, 0.1903, 0.2500)  6 Y 2.87-2.88
Se (0.0000, 0.3152, 0.7500)  6 Y 2.94-2.97
Se (0.0000, 0.4401, 0.2500)  6 Y 2.94-2.98

---

[2]
Material: Te2WBr
Method: DFT, PBE-GGA
State: relaxed

Calculated values
E_form (uncorrected) = 16.83 kcal/mol of atoms
crystal system = trigonal
E above lowest polymorph = 2.63 eV/f.u.

abc: 3.0869 3.0869 37.9861
angles: 90.00 90.00 120.00
Last column: nearest neighbours and their distance in Å.
Space group R-3m (No. 166, hexagonal axes)
Unique sites:
Te (0.0000, 0.0000, 0.0725)  1 W 2.76
W (0.0000, 0.0000, 0.0000)  2 Te 2.76
Br (0.0000, 0.0000, 0.5000)  6 Br 3.09

---

[3]
Material: Tm5UC4
Method: DFT, PBE-GGA
State: relaxed

Calculated values
crystal system = monoclinic
ΔE_f = -0.323 eV/atom

abc: 15.3560 3.5452 7.0873
angles: 90.00 102.87 90.00
Last column: nearest neighbours and their distance in Å.
Space group C2/m (No. 12)
Unique sites:
Tm (0.0000, 0.0000, 0.0000)  4 C 2.59
Tm (0.1624, 0.5000, 0.8147)  3 C 2.41-2.42
Tm (0.1674, 0.5000, 0.3483)  4 C 2.44-2.58
U (0.0000, 0.0000, 0.5000)  6 C 2.40-2.42
C (0.0011, 0.5000, 0.7336)  4 Tm 2.41-2.59, 2 U 2.42
C (0.1603, 0.0000, 0.5811)  1 U 2.40, 5 Tm 2.42-2.58

---

[4]
Material: Nd12Tm7Mg
Method: DFT, PBE-GGA
State: relaxed

Calculated values
crystal system = cubic
E above lowest polymorph = 12.26 eV/f.u.
ΔE_f = 0.692 eV/atom

abc: 11.5872 11.5872 11.5872
angles: 90.00 90.00 90.00
Last column: nearest neighbours and their distance in Å.
Space group Im-3 (No. 204)
Unique sites:
Nd (0.0000, 0.2508, 0.2494)  2 Tm 2.90
Tm (0.0000, 0.0000, 0.5000)  12 Nd 4.09-4.11
Tm (0.2500, 0.2500, 0.2500)  6 Nd 2.90
Mg (0.0000, 0.0000, 0.0000)  12 Nd 4.10

---

[5]
Material: In6HgPb3
Method: DFT, PBE-GGA
State: relaxed

Calculated values
crystal system = monoclinic
E above lowest polymorph = 0.00 eV/f.u.
ΔE_f = 0.047 eV/atom

abc: 10.6694 4.4130 12.9989
angles: 90.00 105.33 90.00
Last column: nearest neighbours and their distance in Å.
Space group P2_1/m (No. 11)
Unique sites:
In (0.0138, 0.2500, 0.4014)  2 Hg 3.14, 5 In 3.24-3.45, 3 Pb 3.44-3.49
In (0.1170, 0.2500, 0.0331)  3 In 3.22-3.27, 5 Pb 3.23-3.37
In (0.2379, 0.7500, 0.5038)  6 In 3.22-3.41, 2 Pb 3.44, 2 Hg 3.47
In (0.3704, 0.2500, 0.9425)  5 In 3.22-3.55, 1 Hg 3.25, 3 Pb 3.36
In (0.4038, 0.7500, 0.7672)  2 Hg 3.11, 5 In 3.26-3.41, 2 Pb 3.41
In (0.4605, 0.2500, 0.5900)  6 In 3.22-3.48, 3 Pb 3.33-3.46, 1 Hg 3.49
Hg (0.1925, 0.2500, 0.6969)  7 In 3.11-3.47, 1 Pb 3.21
Pb (0.0581, 0.7500, 0.2108)  1 Hg 3.21, 5 In 3.23-3.44, 3 Pb 3.42-3.53
Pb (0.3014, 0.2500, 0.3210)  7 In 3.33-3.62, 4 Pb 3.42-3.44
Pb (0.3510, 0.7500, 0.1324)  8 In 3.33-3.64, 3 Pb 3.44-3.53

---

[6]
Material: CaMg6V
Method: DFT, PBE-GGA
State: relaxed

Calculated values
crystal system = orthorhombic
ΔE_f = 0.186 eV/atom

abc: 5.1953 6.4997 11.2639
angles: 90.00 90.00 90.00
Last column: nearest neighbours and their distance in Å.
Space group Amm2 (No. 38)
Unique sites:
Ca (0.0000, 0.0000, 0.0000)  10 Mg 3.17-3.33, 2 V 3.21
Mg (0.0000, 0.0000, 0.5049)  10 Mg 3.19-3.30, 2 Ca 3.25
Mg (0.0000, 0.2381, 0.7544)  8 Mg 3.09-3.41, 2 V 3.15, 2 Ca 3.17-3.33
Mg (0.5000, 0.0000, 0.3360)  10 Mg 3.22-3.27, 2 V 3.25
Mg (0.5000, 0.2418, 0.5909)  2 V 3.14-3.36, 8 Mg 3.14-3.36, 2 Ca 3.26
V (0.5000, 0.0000, 0.8320)  10 Mg 3.14-3.36, 2 Ca 3.21

---

[7]
Material: Ti3H12Rh5
Method: DFT, PBE-GGA
State: relaxed

Calculated values
crystal system = cubic

abc: 10.8429 10.8429 10.8429
angles: 90.00 90.00 90.00
Last column: nearest neighbours and their distance in Å.
Space group Ia-3d (No. 230)
Unique sites:
Ti (0.0000, 0.2500, 0.1250)  8 H 2.02
H (0.0177, 0.0663, 0.6504)  2 Rh 1.74-1.79
Rh (0.0000, 0.0000, 0.0000)  6 H 1.79
Rh (0.0000, 0.2500, 0.3750)  4 H 1.74

---

[8]
Material: NdZr2
Method: DFT, PBE-GGA
State: relaxed

Calculated values
crystal system = cubic
E above lowest polymorph = 0.43 eV/f.u.
ΔE_f = 0.276 eV/atom

abc: 8.7244 8.7244 8.7244
angles: 90.00 90.00 90.00
Last column: nearest neighbours and their distance in Å.
Space group Fd-3m (No. 227, origin choice 2)
Unique sites:
Nd (0.1250, 0.1250, 0.1250)  12 Zr 3.62, 4 Nd 3.78
Zr (0.0000, 0.0000, 0.5000)  6 Zr 3.08

---

Number 1: energy -6.7943 eV per atom, spin magnetization 0.0 μB per formula unit. Number 2: energy -4.4976 eV per atom, spin magnetization 0.0 μB per formula unit. Number 3: energy -7.3775 eV per atom, spin magnetization 0.1 μB per formula unit. Number 4: energy -3.8131 eV per atom, spin magnetization 0.0 μB per formula unit. Number 5: energy -2.7386 eV per atom, spin magnetization 0.0 μB per formula unit. Number 6: energy -2.4003 eV per atom, spin magnetization 3.6 μB per formula unit. Number 7: energy -5.2181 eV per atom, spin magnetization 0.1 μB per formula unit. Number 8: energy -7.0119 eV per atom, spin magnetization 2.3 μB per formula unit.